Mg2CoRhO6 GGA+U optimized geometry; uncorrected energy = -5.77 eV per atom; size of the total moment = 1.96 μB per formula unit; volume = 134.2 Å³ per cell
1.0
4.623 0.000 0.000
0.000 5.388 0.000
0.000 0.000 5.388
Mg Co O Rh
2 1 6 1
Cartesian
4.150 2.694 0.000
4.150 0.000 2.694
2.703 0.000 0.000
3.445 1.345 4.043
3.445 4.043 1.345
3.445 1.345 1.345
1.007 0.000 0.000
1.108 2.694 2.694
3.445 4.043 4.043
2.906 2.694 2.694